{"formula": "RbHfGa", "functional": "PBE-GGA", "state": "relaxed", "space_group": "Amm2", "ef_ev_per_atom": 0.277, "magnetic_moment_mub_per_atom": 0.000, "e_above_lowest_polymorph_mev_per_atom": 309, "final_energy_ev_per_fu": -13.12, "lattice_angstrom": [[3.2678, 0.0000, 0.0000], [0.0000, 9.7739, -2.7882], [0.0000, 9.7739, 2.7882]], "species": ["Rb", "Rb", "Hf", "Hf", "Ga", "Ga"], "fractional_positions": [[0.0000, 0.6532, 0.7195], [0.0000, 0.2805, 0.3468], [0.5000, 0.2890, 0.7110], [0.0000, 0.8294, 0.1706], [0.5000, 0.8594, 0.9137], [0.5000, 0.0863, 0.1406]]}

{"formula": "RbHfGa", "functional": "PBE-GGA", "state": "relaxed", "space_group": "Pnma", "ef_ev_per_atom": 0.438, "magnetic_moment_mub_per_atom": 0.000, "e_above_lowest_polymorph_mev_per_atom": 470, "final_energy_ev_per_fu": -12.63, "lattice_angstrom": [[-7.8683, 6.5673, 5.3763], [0.7971, -1.3424, 2.8065], [6.8237, 7.0151, 1.4174]], "species": ["Ga", "Ga", "Ga", "Ga", "Rb", "Rb", "Rb", "Rb", "Hf", "Hf", "Hf", "Hf"], "fractional_positions": [[0.8915, 0.2500, 0.7891], [0.1085, 0.7500, 0.2109], [0.3915, 0.2500, 0.7109], [0.6085, 0.7500, 0.2891], [0.1500, 0.7500, 0.5602], [0.3500, 0.2500, 0.0602], [0.6500, 0.7500, 0.9398], [0.8500, 0.2500, 0.4398], [0.4325, 0.2500, 0.4093], [0.9325, 0.2500, 0.0907], [0.0675, 0.7500, 0.9093], [0.5675, 0.7500, 0.5907]]}

{"formula": "RbHfGa", "functional": "PBE-GGA", "state": "relaxed", "space_group": "P-1", "ef_ev_per_atom": 0.002, "magnetic_moment_mub_per_atom": 0.000, "e_above_lowest_polymorph_mev_per_atom": 34, "final_energy_ev_per_fu": -13.94, "lattice_angstrom": [[13.4241, 0.1484, -0.0159], [0.6509, 4.2759, -0.0015], [0.0139, -0.0005, 3.5954]], "species": ["Hf", "Hf", "Ga", "Ga", "Rb", "Rb"], "fractional_positions": [[0.5881, 0.4557, 0.2491], [0.4119, 0.5443, 0.7509], [0.5818, 0.9588, 0.7493], [0.4182, 0.0412, 0.2507], [0.8304, 0.8340, 0.2462], [0.1696, 0.1660, 0.7538]]}

{"formula": "RbHfGa", "functional": "PBE-GGA", "state": "relaxed", "space_group": "Pnma", "ef_ev_per_atom": 0.338, "magnetic_moment_mub_per_atom": 0.000, "e_above_lowest_polymorph_mev_per_atom": 370, "final_energy_ev_per_fu": -12.93, "lattice_angstrom": [[-0.6124, -12.7442, -6.2880], [5.0780, 1.4427, -3.4186], [2.6862, -1.7363, 3.2574]], "species": ["Rb", "Rb", "Rb", "Rb", "Ga", "Ga", "Ga", "Ga", "Hf", "Hf", "Hf", "Hf"], "fractional_positions": [[0.2694, 0.2500, 0.5024], [0.7694, 0.2500, 0.9976], [0.2306, 0.7500, 0.0024], [0.7306, 0.7500, 0.4976], [0.0000, 0.5000, 0.0000], [0.0000, 0.0000, 0.0000], [0.5000, 0.5000, 0.5000], [0.5000, 0.0000, 0.5000], [0.9993, 0.2500, 0.4999], [0.0007, 0.7500, 0.5001], [0.4993, 0.2500, 0.0001], [0.5007, 0.7500, 0.9999]]}

{"formula": "RbHfGa", "functional": "PBE-GGA", "state": "relaxed", "space_group": "Cmc2_1", "ef_ev_per_atom": 0.304, "magnetic_moment_mub_per_atom": 0.000, "e_above_lowest_polymorph_mev_per_atom": 336, "final_energy_ev_per_fu": -13.04, "lattice_angstrom": [[2.0348, -7.4183, 0.0000], [2.0348, 7.4183, 0.0000], [0.0000, 0.0000, 6.4227]], "species": ["Ga", "Ga", "Rb", "Rb", "Hf", "Hf"], "fractional_positions": [[0.4329, 0.5671, 0.0443], [0.5671, 0.4329, 0.5443], [0.2927, 0.7073, 0.5461], [0.7073, 0.2927, 0.0461], [0.9992, 0.0008, 0.2946], [0.0008, 0.9992, 0.7946]]}

{"formula": "Rb2HfGa", "functional": "PBE-GGA", "state": "relaxed", "space_group": "I-42d", "ef_ev_per_atom": 0.827, "magnetic_moment_mub_per_atom": 0.000, "final_energy_ev_per_fu": -11.61, "lattice_angstrom": [[-12.1840, -2.3153, 6.4341], [-3.3224, -9.4860, -9.7049], [-6.6384, -7.7647, -0.1950]], "species": ["Rb", "Rb", "Rb", "Rb", "Hf", "Hf", "Ga", "Ga"], "fractional_positions": [[0.3212, 0.6250, 0.2500], [0.3750, 0.5712, 0.7500], [0.4288, 0.1250, 0.2500], [0.8750, 0.6788, 0.7500], [0.7500, 0.2500, 0.5000], [0.0000, 0.0000, 0.0000], [0.5000, 0.5000, 0.0000], [0.2500, 0.7500, 0.5000]]}

{"formula": "RbHf3Ga", "functional": "PBE-GGA", "state": "relaxed", "space_group": "Pm-3m", "ef_ev_per_atom": 2.319, "magnetic_moment_mub_per_atom": 0.000, "e_above_lowest_polymorph_mev_per_atom": 1260, "final_energy_ev_per_fu": -22.26, "lattice_angstrom": [[5.0221, 0.0000, 0.0000], [0.0000, 5.0221, 0.0000], [0.0000, 0.0000, 5.0221]], "species": ["Ga", "Hf", "Hf", "Hf", "Rb"], "fractional_positions": [[0.5000, 0.5000, 0.5000], [0.0000, 0.0000, 0.5000], [0.0000, 0.5000, 0.0000], [0.5000, 0.0000, 0.0000], [0.0000, 0.0000, 0.0000]]}

{"formula": "RbHfGa", "functional": "PBE-GGA", "state": "relaxed", "space_group": "P-6m2", "ef_ev_per_atom": 0.807, "magnetic_moment_mub_per_atom": 0.000, "e_above_lowest_polymorph_mev_per_atom": 839, "final_energy_ev_per_fu": -11.53, "lattice_angstrom": [[-1.9796, 4.8785, -0.7945], [-3.1135, -4.2723, -0.6347], [-1.7402, 0.3264, 6.3401]], "species": ["Hf", "Hf", "Ga", "Ga", "Rb", "Rb"], "fractional_positions": [[0.0000, 0.0000, 0.2499], [0.0000, 0.0000, 0.7501], [0.3333, 0.6667, 0.2499], [0.3333, 0.6667, 0.7501], [0.6667, 0.3333, 0.0000], [0.6667, 0.3333, 0.5000]]}

{"formula": "RbHfGa", "functional": "PBE-GGA", "state": "relaxed", "space_group": "P1", "ef_ev_per_atom": 0.136, "magnetic_moment_mub_per_atom": 0.000, "e_above_lowest_polymorph_mev_per_atom": 168, "final_energy_ev_per_fu": -13.54, "lattice_angstrom": [[4.7315, -0.0589, 0.0169], [-2.3127, 4.1217, 0.0007], [2.1553, 1.1194, 12.1891]], "species": ["Rb", "Rb", "Ga", "Ga", "Hf", "Hf"], "fractional_positions": [[0.3674, 0.6273, 0.5147], [0.7406, 0.8035, 0.8950], [0.1573, 0.0186, 0.3100], [0.2843, 0.0788, 0.0997], [0.8877, 0.3825, 0.2049], [0.5537, 0.7148, 0.2049]]}

{"formula": "RbHfGa", "functional": "PBE-GGA", "state": "relaxed", "space_group": "P1", "ef_ev_per_atom": 0.155, "magnetic_moment_mub_per_atom": 0.000, "e_above_lowest_polymorph_mev_per_atom": 187, "final_energy_ev_per_fu": -13.48, "lattice_angstrom": [[-2.9579, 1.9215, -4.0165], [0.8138, -3.1800, -0.7308], [-10.9828, -2.7800, 6.3816]], "species": ["Hf", "Hf", "Ga", "Ga", "Rb", "Rb"], "fractional_positions": [[0.4717, 0.0822, 0.1359], [0.1172, 0.4617, 0.2738], [0.9232, 0.7933, 0.1073], [0.6657, 0.7504, 0.3023], [0.0478, 0.2583, 0.8765], [0.5457, 0.2881, 0.5333]]}

{"formula": "RbHfGa", "functional": "PBE-GGA", "state": "relaxed", "space_group": "P1", "ef_ev_per_atom": 0.135, "magnetic_moment_mub_per_atom": 0.000, "e_above_lowest_polymorph_mev_per_atom": 167, "final_energy_ev_per_fu": -13.54, "lattice_angstrom": [[3.9046, -0.0001, -0.0006], [0.0000, 3.2740, 0.0016], [0.1246, -1.4352, 14.7312]], "species": ["Rb", "Rb", "Hf", "Hf", "Ga", "Ga"], "fractional_positions": [[0.5338, 0.0629, 0.5595], [0.0555, 0.2654, 0.8798], [0.0407, 0.4689, 0.3443], [0.0472, 0.3809, 0.1436], [0.5439, 0.9269, 0.2485], [0.5501, 0.8415, 0.0534]]}

{"formula": "RbHfGa", "functional": "PBE-GGA", "state": "relaxed", "space_group": "P1", "ef_ev_per_atom": 0.153, "magnetic_moment_mub_per_atom": 0.000, "e_above_lowest_polymorph_mev_per_atom": 185, "final_energy_ev_per_fu": -13.49, "lattice_angstrom": [[12.3819, 0.0033, -0.0272], [0.0309, 4.6228, -0.0020], [0.0071, -2.3129, 3.9992]], "species": ["Ga", "Ga", "Hf", "Hf", "Rb", "Rb"], "fractional_positions": [[0.6029, 0.5795, 0.2122], [0.7912, 0.9082, 0.8762], [0.5745, 0.9135, 0.8796], [0.7079, 0.2436, 0.5444], [0.3412, 0.2523, 0.5506], [0.9853, 0.5699, 0.2070]]}

{"formula": "RbHfGa", "functional": "PBE-GGA", "state": "relaxed", "space_group": "P4/nmm", "ef_ev_per_atom": 0.390, "magnetic_moment_mub_per_atom": 0.276, "e_above_lowest_polymorph_mev_per_atom": 422, "final_energy_ev_per_fu": -12.78, "lattice_angstrom": [[-0.5869, 4.2028, -2.9754], [-3.8435, -2.3505, -2.5619], [-5.6355, 3.1515, 5.5632]], "species": ["Hf", "Hf", "Rb", "Rb", "Ga", "Ga"], "fractional_positions": [[0.0000, 0.5000, 0.4194], [0.5000, 0.0000, 0.5806], [0.5000, 0.0000, 0.1554], [0.0000, 0.5000, 0.8446], [0.5000, 0.5000, 0.5000], [0.0000, 0.0000, 0.5000]]}

{"formula": "RbHfGa", "functional": "PBE-GGA", "state": "relaxed", "space_group": "P6_3/mmc", "ef_ev_per_atom": 1.381, "magnetic_moment_mub_per_atom": 0.201, "e_above_lowest_polymorph_mev_per_atom": 1413, "final_energy_ev_per_fu": -9.81, "lattice_angstrom": [[-1.6808, -4.9627, -3.1875], [2.2752, -0.6175, 5.6618], [-9.6009, 0.7230, 3.9369]], "species": ["Hf", "Hf", "Rb", "Rb", "Ga", "Ga"], "fractional_positions": [[0.0000, 0.0000, 0.0000], [0.0000, 0.0000, 0.5000], [0.6667, 0.3333, 0.7500], [0.3333, 0.6667, 0.2500], [0.0000, 0.0000, 0.2500], [0.0000, 0.0000, 0.7500]]}

{"formula": "RbHfGa", "functional": "PBE-GGA", "state": "relaxed", "space_group": "Pmma", "ef_ev_per_atom": 0.260, "magnetic_moment_mub_per_atom": 0.000, "e_above_lowest_polymorph_mev_per_atom": 292, "final_energy_ev_per_fu": -13.17, "lattice_angstrom": [[-2.0116, 4.9607, -3.1028], [-2.4825, -1.7256, -1.1494], [-4.8061, 2.3433, 6.8621]], "species": ["Hf", "Hf", "Ga", "Ga", "Rb", "Rb"], "fractional_positions": [[0.0000, 0.0000, 0.5000], [0.5000, 0.0000, 0.5000], [0.7500, 0.5000, 0.2964], [0.2500, 0.5000, 0.7036], [0.2500, 0.0000, 0.1136], [0.7500, 0.0000, 0.8864]]}

{"formula": "RbHf3Ga", "functional": "PBE-GGA", "state": "relaxed", "space_group": "Pm-3m", "ef_ev_per_atom": 1.059, "magnetic_moment_mub_per_atom": 0.000, "e_above_lowest_polymorph_mev_per_atom": 0, "final_energy_ev_per_fu": -28.56, "lattice_angstrom": [[-0.6914, 2.1678, 4.7042], [-0.0942, -4.7504, 2.1753], [5.1788, 0.2030, 0.6676]], "species": ["Ga", "Hf", "Hf", "Hf", "Rb"], "fractional_positions": [[0.0000, 0.0000, 0.0000], [0.5000, 0.0000, 0.0000], [0.0000, 0.0000, 0.5000], [0.0000, 0.5000, 0.0000], [0.5000, 0.5000, 0.5000]]}

{"formula": "RbHfGa", "functional": "PBE-GGA", "state": "relaxed", "space_group": "F-43m", "ef_ev_per_atom": 1.089, "magnetic_moment_mub_per_atom": 0.000, "e_above_lowest_polymorph_mev_per_atom": 1121, "final_energy_ev_per_fu": -10.68, "lattice_angstrom": [[0.0000, 3.6199, 3.6199], [3.6199, 0.0000, 3.6199], [3.6199, 3.6199, 0.0000]], "species": ["Ga", "Rb", "Hf"], "fractional_positions": [[0.0000, 0.0000, 0.0000], [0.2500, 0.2500, 0.2500], [0.7500, 0.7500, 0.7500]]}

{"formula": "RbHfGa", "functional": "PBE-GGA", "state": "relaxed", "space_group": "P1", "ef_ev_per_atom": 0.185, "magnetic_moment_mub_per_atom": 0.000, "e_above_lowest_polymorph_mev_per_atom": 217, "final_energy_ev_per_fu": -13.39, "lattice_angstrom": [[13.0737, -0.0069, 0.0146], [-0.7617, 5.0871, -0.0070], [0.0002, -1.1944, 3.2813]], "species": ["Rb", "Rb", "Ga", "Ga", "Hf", "Hf"], "fractional_positions": [[0.8225, 0.4892, 0.1883], [0.1673, 0.1409, 0.5173], [0.4511, 0.1783, 0.0348], [0.6132, 0.0653, 0.4772], [0.5580, 0.5984, 0.7441], [0.3910, 0.7247, 0.3084]]}

{"formula": "RbHfGa", "functional": "PBE-GGA", "state": "relaxed", "space_group": "P-1", "ef_ev_per_atom": -0.032, "magnetic_moment_mub_per_atom": 0.000, "e_above_lowest_polymorph_mev_per_atom": 0, "final_energy_ev_per_fu": -14.04, "lattice_angstrom": [[-13.5155, -1.3223, -2.7317], [0.7036, -1.2977, -3.0931], [0.0109, -3.7129, 1.5600]], "species": ["Hf", "Hf", "Rb", "Rb", "Ga", "Ga"], "fractional_positions": [[0.5669, 0.2462, 0.7478], [0.4331, 0.7538, 0.2522], [0.1647, 0.7684, 0.2611], [0.8353, 0.2316, 0.7389], [0.6418, 0.7418, 0.2455], [0.3582, 0.2582, 0.7545]]}

{"formula": "RbHfGa", "functional": "PBE-GGA", "state": "relaxed", "space_group": "Pnma", "ef_ev_per_atom": 0.435, "magnetic_moment_mub_per_atom": 0.000, "e_above_lowest_polymorph_mev_per_atom": 467, "final_energy_ev_per_fu": -12.64, "lattice_angstrom": [[-4.3143, -7.7215, -0.4754], [3.0524, -1.8968, 3.1069], [-5.0527, 2.4263, 6.4453]], "species": ["Rb", "Rb", "Rb", "Rb", "Ga", "Ga", "Ga", "Ga", "Hf", "Hf", "Hf", "Hf"], "fractional_positions": [[0.9887, 0.2500, 0.8649], [0.4887, 0.2500, 0.6351], [0.0113, 0.7500, 0.1351], [0.5113, 0.7500, 0.3649], [0.6824, 0.7500, 0.8537], [0.3176, 0.2500, 0.1463], [0.8176, 0.2500, 0.3537], [0.1824, 0.7500, 0.6463], [0.8964, 0.7500, 0.5508], [0.6036, 0.2500, 0.0508], [0.3964, 0.7500, 0.9492], [0.1036, 0.2500, 0.4492]]}

{"formula": "RbHfGa", "functional": "PBE-GGA", "state": "relaxed", "space_group": "P1", "ef_ev_per_atom": 0.297, "magnetic_moment_mub_per_atom": 0.000, "e_above_lowest_polymorph_mev_per_atom": 329, "final_energy_ev_per_fu": -13.06, "lattice_angstrom": [[-9.7828, -2.0148, 1.7647], [0.2682, -0.0856, 5.1213], [-0.5639, 4.9329, -1.2882]], "species": ["Hf", "Hf", "Ga", "Ga", "Rb", "Rb"], "fractional_positions": [[0.5457, 0.3539, 0.0254], [0.5361, 0.7814, 0.5979], [0.4481, 0.2848, 0.4926], [0.4480, 0.8861, 0.0938], [0.8360, 0.9991, 0.3752], [0.1830, 0.4246, 0.9513]]}

{"formula": "RbHfGa", "functional": "PBE-GGA", "state": "relaxed", "space_group": "P6_3/mmc", "ef_ev_per_atom": 0.722, "magnetic_moment_mub_per_atom": 0.223, "e_above_lowest_polymorph_mev_per_atom": 754, "final_energy_ev_per_fu": -11.78, "lattice_angstrom": [[3.9708, -2.2925, 0.0000], [0.0000, 4.5851, 0.0000], [0.0000, 0.0000, 12.4776]], "species": ["Hf", "Hf", "Rb", "Rb", "Ga", "Ga"], "fractional_positions": [[0.6667, 0.3333, 0.2500], [0.3333, 0.6667, 0.7500], [0.0000, 0.0000, 0.5000], [0.0000, 0.0000, 0.0000], [0.3333, 0.6667, 0.2500], [0.6667, 0.3333, 0.7500]]}

{"formula": "RbHfGa", "functional": "PBE-GGA", "state": "relaxed", "space_group": "P6_3mc", "ef_ev_per_atom": 0.726, "magnetic_moment_mub_per_atom": 0.000, "e_above_lowest_polymorph_mev_per_atom": 758, "final_energy_ev_per_fu": -11.77, "lattice_angstrom": [[4.6862, -2.7056, 0.0000], [0.0000, 5.4111, 0.0000], [0.0000, 0.0000, 6.0119]], "species": ["Rb", "Rb", "Ga", "Ga", "Hf", "Hf"], "fractional_positions": [[0.0000, 0.0000, 0.2533], [0.0000, 0.0000, 0.7533], [0.6667, 0.3333, 0.4988], [0.3333, 0.6667, 0.9988], [0.3333, 0.6667, 0.4979], [0.6667, 0.3333, 0.9979]]}

{"formula": "RbHfGa", "functional": "PBE-GGA", "state": "relaxed", "space_group": "P-1", "ef_ev_per_atom": 0.135, "magnetic_moment_mub_per_atom": 0.000, "e_above_lowest_polymorph_mev_per_atom": 167, "final_energy_ev_per_fu": -13.54, "lattice_angstrom": [[-9.7023, 7.7293, -0.7272], [-0.6938, -2.5385, -3.9108], [-2.2553, -4.1272, 0.3078]], "species": ["Ga", "Ga", "Rb", "Rb", "Hf", "Hf"], "fractional_positions": [[0.3948, 0.4694, 0.4678], [0.6052, 0.5306, 0.5322], [0.8094, 0.2524, 0.2601], [0.1906, 0.7476, 0.7399], [0.5031, 0.8300, 0.8300], [0.4969, 0.1700, 0.1700]]}

{"formula": "RbHfGa", "functional": "PBE-GGA", "state": "relaxed", "space_group": "P1", "ef_ev_per_atom": 0.254, "magnetic_moment_mub_per_atom": 0.000, "e_above_lowest_polymorph_mev_per_atom": 287, "final_energy_ev_per_fu": -13.18, "lattice_angstrom": [[9.0921, -0.0206, -0.0114], [-0.0076, 3.3127, -0.0049], [0.0762, -1.6435, 6.0870]], "species": ["Ga", "Ga", "Hf", "Hf", "Rb", "Rb"], "fractional_positions": [[0.3244, 0.7250, 0.8472], [0.7295, 0.4957, 0.3797], [0.4664, 0.3802, 0.1523], [0.5106, 0.0913, 0.5756], [0.1136, 0.0068, 0.4047], [0.8586, 0.7649, 0.9106]]}

{"formula": "RbHfGaSb3", "functional": "PBE-GGA", "state": "relaxed", "space_group": "P2_1/m", "magnetic_moment_mub_per_atom": 0.000, "final_energy_ev_per_fu": -28.16, "e_form_raw_ev_per_atom": -0.307, "lattice_angstrom": [[-1.9800, 2.7871, 2.1956], [-8.4814, -5.6723, -0.4484], [6.8228, -1.5893, 8.1704]], "species": ["Sb", "Sb", "Sb", "Sb", "Sb", "Sb", "Rb", "Rb", "Hf", "Hf", "Ga", "Ga"], "fractional_positions": [[0.2500, 0.7457, 0.4247], [0.2500, 0.1203, 0.8672], [0.7500, 0.2543, 0.5753], [0.2500, 0.5123, 0.8199], [0.7500, 0.4877, 0.1801], [0.7500, 0.8797, 0.1328], [0.2500, 0.2267, 0.2571], [0.7500, 0.7733, 0.7429], [0.2500, 0.6699, 0.1230], [0.7500, 0.3301, 0.8770], [0.2500, 0.0844, 0.6048], [0.7500, 0.9156, 0.3952]]}